1 | {
  "formula": "CaTl2Pb3",
  "functional": "GGA-PBE",
  "state": "relaxed",
  "cell": [[-0.593, -0.283, 6.195], [-5.383, -0.930, -2.996], [5.437, -9.409, -2.171]],
  "species": ["Tl", "Tl", "Tl", "Tl", "Pb", "Pb", "Pb", "Pb", "Pb", "Pb", "Ca", "Ca"],
  "fractional_positions": [[0.288, 0.044, 0.586], [0.044, 0.288, 0.086], [0.956, 0.712, 0.914], [0.712, 0.956, 0.414], [0.788, 0.529, 0.579], [0.628, 0.372, 0.250], [0.529, 0.788, 0.079], [0.212, 0.471, 0.421], [0.372, 0.628, 0.750], [0.471, 0.212, 0.921], [0.123, 0.877, 0.250], [0.877, 0.123, 0.750]]
}

2 | {
  "formula": "CaTl2Pb3",
  "functional": "GGA-PBE",
  "state": "relaxed",
  "cell": [[-5.051, 3.673, -1.656], [-2.405, -5.847, -1.334], [-4.789, -1.064, 7.869]],
  "species": ["Tl", "Tl", "Tl", "Tl", "Pb", "Pb", "Pb", "Pb", "Pb", "Pb", "Ca", "Ca"],
  "fractional_positions": [[0.633, 0.118, 0.624], [0.367, 0.882, 0.376], [0.118, 0.633, 0.124], [0.882, 0.367, 0.876], [0.665, 0.845, 0.984], [0.335, 0.155, 0.016], [0.845, 0.665, 0.484], [0.549, 0.451, 0.250], [0.451, 0.549, 0.750], [0.155, 0.335, 0.516], [0.108, 0.892, 0.750], [0.892, 0.108, 0.250]]
}

Preferred: 1; penalty for the next structure: 39 meV/atom.

1 | {
  "formula": "CaTl8Pb5",
  "functional": "GGA-PBE",
  "state": "relaxed",
  "cell": [[-4.167, -6.996, 1.907], [-2.772, 2.368, -7.527], [8.256, -1.330, -0.099]],
  "species": ["Ca", "Tl", "Tl", "Tl", "Tl", "Tl", "Tl", "Tl", "Tl", "Pb", "Pb", "Pb", "Pb", "Pb"],
  "fractional_positions": [[0.250, 0.750, 0.500], [0.171, 0.589, 0.772], [0.091, 0.993, 0.768], [0.817, 0.399, 0.228], [0.225, 0.323, 0.232], [0.677, 0.909, 0.901], [0.007, 0.775, 0.099], [0.601, 0.829, 0.418], [0.411, 0.183, 0.582], [0.942, 0.119, 0.405], [0.500, 0.500, 0.000], [0.463, 0.058, 0.177], [0.713, 0.537, 0.595], [0.881, 0.287, 0.823]]
}

2 | {
  "formula": "CaTl8Pb5",
  "functional": "GGA-PBE",
  "state": "relaxed",
  "cell": [[8.445, 0.429, -0.737], [-2.454, 8.092, 0.737], [-3.537, -3.880, 6.670]],
  "species": ["Tl", "Tl", "Tl", "Tl", "Tl", "Tl", "Tl", "Tl", "Pb", "Pb", "Pb", "Pb", "Pb", "Ca"],
  "fractional_positions": [[0.565, 0.320, 0.918], [0.082, 0.647, 0.402], [0.103, 0.639, 0.019], [0.981, 0.083, 0.619], [0.755, 0.353, 0.435], [0.598, 0.680, 0.245], [0.381, 0.361, 0.464], [0.536, 0.917, 0.897], [0.283, 0.054, 0.043], [0.957, 0.239, 0.010], [0.771, 0.761, 0.717], [0.500, 0.000, 0.500], [0.990, 0.946, 0.229], [0.250, 0.500, 0.750]]
}

Preferred: 2; penalty for the next structure: 14 meV/atom.

1 | {
  "formula": "Ca4TlPb",
  "functional": "GGA-PBE",
  "state": "relaxed",
  "cell": [[6.872, 0.051, 0.000], [-1.702, 8.653, 0.000], [-2.585, -4.352, 7.235]],
  "species": ["Tl", "Tl", "Ca", "Ca", "Ca", "Ca", "Ca", "Ca", "Ca", "Ca", "Pb", "Pb"],
  "fractional_positions": [[0.761, 0.011, 0.021], [0.239, 0.989, 0.979], [0.218, 0.306, 0.354], [0.637, 0.048, 0.354], [0.370, 0.638, 0.884], [0.630, 0.362, 0.116], [0.986, 0.754, 0.116], [0.782, 0.694, 0.646], [0.363, 0.952, 0.646], [0.014, 0.246, 0.884], [0.610, 0.360, 0.720], [0.390, 0.640, 0.280]]
}

2 | {
  "formula": "Ca4TlPb",
  "functional": "GGA-PBE",
  "state": "relaxed",
  "cell": [[3.927, -5.189, -1.848], [-2.600, -6.232, -0.407], [-0.869, -2.915, -6.043]],
  "species": ["Ca", "Ca", "Ca", "Ca", "Tl", "Pb"],
  "fractional_positions": [[0.375, 0.375, 0.874], [0.375, 0.375, 0.375], [0.874, 0.375, 0.375], [0.375, 0.874, 0.375], [0.000, 0.000, 0.000], [0.750, 0.750, 0.750]]
}

Preferred: 1; penalty for the next structure: 512 meV/atom.

1 | {
  "formula": "Ca2Tl8Pb",
  "functional": "GGA-PBE",
  "state": "relaxed",
  "cell": [[4.927, 0.000, 0.000], [0.000, 4.927, 0.000], [0.000, 0.000, 13.940]],
  "species": ["Tl", "Tl", "Tl", "Tl", "Tl", "Tl", "Tl", "Tl", "Ca", "Ca", "Pb"],
  "fractional_positions": [[0.500, 0.000, 0.154], [0.500, 0.500, 0.330], [0.500, 0.500, 0.670], [0.500, 0.000, 0.846], [0.500, 0.000, 0.500], [0.000, 0.500, 0.500], [0.000, 0.500, 0.154], [0.000, 0.500, 0.846], [0.000, 0.000, 0.673], [0.000, 0.000, 0.327], [0.000, 0.000, 0.000]]
}

2 | {
  "formula": "Ca2Tl8Pb",
  "functional": "GGA-PBE",
  "state": "relaxed",
  "cell": [[7.507, 1.665, 1.384], [3.031, 8.147, 2.517], [3.031, 3.964, 7.550]],
  "species": ["Tl", "Tl", "Tl", "Tl", "Tl", "Tl", "Tl", "Tl", "Pb", "Ca", "Ca"],
  "fractional_positions": [[0.763, 0.246, 0.246], [0.772, 0.606, 0.606], [0.237, 0.754, 0.754], [0.221, 0.823, 0.345], [0.221, 0.345, 0.823], [0.779, 0.177, 0.655], [0.779, 0.655, 0.177], [0.228, 0.394, 0.394], [0.000, 0.000, 0.000], [0.466, 0.157, 0.157], [0.534, 0.843, 0.843]]
}

Preferred: 1; penalty for the next structure: 32 meV/atom.